1.
{"formula": "ThInOsRh", "functional": "PBE", "state": "relaxed", "lattice_angstrom": [[4.835, 0.000, 0.000], [2.418, 4.188, 0.000], [2.418, 1.396, 3.948]], "species": ["Rh", "Os", "Th", "In"], "fractional_positions": [[0.750, 0.750, 0.750], [0.250, 0.250, 0.250], [0.500, 0.500, 0.500], [0.000, 0.000, 0.000]], "m_tot_mub_per_atom": 0.00, "delta_e_f_mev_per_atom": -286, "spacegroup": "F-43m, No. 216"}



2.
{"formula": "TiInOsRh", "functional": "PBE", "state": "relaxed", "lattice_angstrom": [[-1.073, 4.335, -0.292], [-1.635, 2.145, 3.571], [2.490, 3.068, 2.101]], "species": ["Rh", "Ti", "Os", "In"], "fractional_positions": [[0.000, 0.000, 0.000], [0.250, 0.250, 0.250], [0.500, 0.500, 0.500], [0.750, 0.750, 0.750]], "m_tot_mub_per_atom": 0.00, "delta_e_f_mev_per_atom": -392, "spacegroup": "F-43m, No. 216"}



3.
{"formula": "TlInOs2Rh", "functional": "PBE", "state": "relaxed", "lattice_angstrom": [[-4.439, 1.634, 0.661], [-1.394, -1.993, -4.442], [-1.173, -4.076, 2.196]], "species": ["Rh", "Tl", "Os", "Os", "In"], "fractional_positions": [[0.000, 0.000, 0.000], [0.000, 0.500, 0.000], [0.000, 0.000, 0.500], [0.500, 0.000, 0.000], [0.500, 0.500, 0.500]], "m_tot_mub_per_atom": 0.00, "delta_e_f_mev_per_atom": 1637, "spacegroup": "P4/mmm, No. 123"}



4.
{"formula": "Tm5In2OsRh2", "functional": "PBE", "state": "relaxed", "lattice_angstrom": [[3.445, 0.000, 0.000], [0.000, 11.540, 0.000], [0.000, 0.000, 11.540]], "species": ["Tm", "Tm", "Tm", "Tm", "Tm", "Tm", "Tm", "Tm", "Tm", "Tm", "In", "In", "In", "In", "Os", "Os", "Rh", "Rh", "Rh", "Rh"], "fractional_positions": [[0.500, 0.194, 0.063], [0.500, 0.806, 0.937], [0.500, 0.063, 0.806], [0.500, 0.694, 0.437], [0.500, 0.937, 0.194], [0.500, 0.306, 0.563], [0.500, 0.563, 0.694], [0.500, 0.437, 0.306], [0.500, 0.500, 0.000], [0.500, 0.000, 0.500], [0.000, 0.680, 0.180], [0.000, 0.320, 0.820], [0.000, 0.180, 0.320], [0.000, 0.820, 0.680], [0.000, 0.000, 0.000], [0.000, 0.500, 0.500], [0.000, 0.135, 0.635], [0.000, 0.865, 0.365], [0.000, 0.635, 0.865], [0.000, 0.365, 0.135]], "m_tot_mub_per_atom": 0.00, "delta_e_f_mev_per_atom": -558, "spacegroup": "P4/mbm, No. 127"}